Record 1
The following is a DFT calculation (PBE-GGA) of La4Tb5Pr after structural relaxation.

a b c (Å): 3.6924 3.6924 25.2765
angles (deg): 90.00 90.00 90.00
With the nearest neighbours (Å) after each atom.
Fractional positions:
La: 0.0000 0.0000 0.2000  8 Tb 3.63-3.65, 4 La 3.69
La: 0.0000 0.0000 0.4000  8 Tb 3.63-3.64, 4 La 3.69
La: 0.0000 0.0000 0.6000  8 Tb 3.63-3.64, 4 La 3.69
La: 0.0000 0.0000 0.8000  8 Tb 3.63-3.65, 4 La 3.69
Tb: 0.5000 0.5000 0.0993  4 Pr 3.62, 4 La 3.65, 4 Tb 3.69
Tb: 0.5000 0.5000 0.2999  8 La 3.63-3.64, 4 Tb 3.69
Tb: 0.5000 0.5000 0.5000  8 La 3.63, 4 Tb 3.69
Tb: 0.5000 0.5000 0.7001  8 La 3.63-3.64, 4 Tb 3.69
Tb: 0.5000 0.5000 0.9007  4 Pr 3.62, 4 La 3.65, 4 Tb 3.69
Pr: 0.0000 0.0000 0.0000  8 Tb 3.62, 4 Pr 3.69

Output
* energy above the most stable polymorph in this dataset: 0.000 eV/atom
* crystal system: tetragonal
* energy of formation from the pure elements: 21.2 meV/atom



Record 2
The following is a DFT calculation (PBE-GGA) of La5Tb6Pr after structural relaxation.

a b c (Å): 5.2312 10.1070 9.6558
angles (deg): 121.57 105.72 89.99
With the nearest neighbours (Å) after each atom.
Fractional positions:
Pr: 0.0000 0.0000 0.0000  8 Tb 3.62-3.63, 4 La 3.69
Tb: 0.8336 0.5838 0.6671  1 Pr 3.62, 7 La 3.62-3.64, 4 Tb 3.69
Tb: 0.8336 0.0833 0.6672  1 Pr 3.62, 7 La 3.62-3.64, 4 Tb 3.69
Tb: 0.5000 0.7504 0.0000  6 La 3.62-3.64, 2 Pr 3.63, 4 Tb 3.69
Tb: 0.5000 0.2496 0.0000  6 La 3.62-3.64, 2 Pr 3.63, 4 Tb 3.69
Tb: 0.1664 0.9167 0.3328  1 Pr 3.62, 7 La 3.62-3.64, 4 Tb 3.69
Tb: 0.1664 0.4162 0.3329  1 Pr 3.62, 7 La 3.62-3.64, 4 Tb 3.69
La: 0.6664 0.1665 0.3330  8 Tb 3.62-3.64, 2 Pr 3.69, 2 La 3.69
La: 0.3333 0.3334 0.6668  8 Tb 3.63-3.64, 4 La 3.69
La: 0.0000 0.5000 0.0000  8 Tb 3.62-3.64, 4 La 3.69
La: 0.6667 0.6666 0.3332  8 Tb 3.63-3.64, 4 La 3.69
La: 0.3336 0.8335 0.6670  8 Tb 3.62-3.64, 2 Pr 3.69, 2 La 3.69

Output
* crystal system: orthorhombic
* energy of formation from the pure elements: 19.4 meV/atom



Record 3
The following is a DFT calculation (PBE-GGA) of La4Tb4Pr3 after structural relaxation.

a b c (Å): 3.6444 12.4589 12.4589
angles (deg): 45.29 81.59 81.59
With the nearest neighbours (Å) after each atom.
Fractional positions:
La: 0.6465 0.1836 0.5233  3 La 3.26-3.64, 3 Tb 3.60-3.61
La: 0.3535 0.4767 0.8164  3 La 3.26-3.64, 3 Tb 3.60-3.61
La: 0.3535 0.8164 0.4767  3 La 3.26-3.64, 3 Tb 3.60-3.61
La: 0.6465 0.5233 0.1836  3 La 3.26-3.64, 3 Tb 3.60-3.61
Tb: 0.7371 0.7629 0.7629  2 Pr 3.48, 6 La 3.60-3.78, 2 Tb 3.64
Tb: 0.2629 0.2371 0.2371  2 Pr 3.48, 6 La 3.60-3.78, 2 Tb 3.64
Tb: 0.5000 0.8167 0.1833  6 Pr 3.50-3.54, 3 Tb 3.52-3.64, 2 La 3.61
Tb: 0.5000 0.1833 0.8167  6 Pr 3.50-3.54, 3 Tb 3.52-3.64, 2 La 3.61
Pr: 0.8935 0.1065 0.1065  6 Tb 3.48-3.50, 2 Pr 3.64, 4 La 3.77
Pr: 0.1065 0.8935 0.8935  6 Tb 3.48-3.50, 2 Pr 3.64, 4 La 3.77
Pr: 0.0000 0.5000 0.5000  4 Tb 3.54, 2 Pr 3.64

Output
* energy above the most stable polymorph in this dataset: 0.000 eV/atom
* crystal system: orthorhombic
* energy of formation from the pure elements: 124.0 meV/atom



Record 4
The following is a DFT calculation (PBE-GGA) of La12TbPr6 after structural relaxation.

a b c (Å): 9.0363 9.0363 9.0363
angles (deg): 98.51 98.51 98.51
With the nearest neighbours (Å) after each atom.
Fractional positions:
La: 0.5838 0.1671 0.5836  1 La 3.21
La: 0.1671 0.5836 0.5838  1 La 3.21
La: 0.5836 0.5838 0.1671  1 La 3.21
La: 0.4162 0.8329 0.4164  1 La 3.21
La: 0.8329 0.4164 0.4162  1 La 3.21
La: 0.4164 0.4162 0.8329  1 La 3.21
La: 0.2617 0.0004 0.7384  4 Pr 3.51-3.65, 1 Tb 3.58, 6 La 3.58-3.74
La: 0.2616 0.7383 0.9996  4 Pr 3.51-3.65, 1 Tb 3.58, 6 La 3.58-3.74
La: 0.9996 0.2616 0.7383  4 Pr 3.51-3.65, 1 Tb 3.58, 6 La 3.58-3.74
La: 0.7383 0.9996 0.2616  4 Pr 3.51-3.65, 1 Tb 3.58, 6 La 3.58-3.74
La: 0.7384 0.2617 0.0004  4 Pr 3.51-3.65, 1 Tb 3.58, 6 La 3.58-3.74
La: 0.0004 0.7384 0.2617  4 Pr 3.51-3.65, 1 Tb 3.58, 6 La 3.58-3.74
Tb: 0.0000 0.0000 0.0000  6 La 3.58, 6 Pr 3.68
Pr: 0.1410 0.1415 0.4079  4 La 3.51-3.65, 2 Pr 3.65, 1 Tb 3.68
Pr: 0.8585 0.5921 0.8590  4 La 3.51-3.65, 2 Pr 3.65, 1 Tb 3.68
Pr: 0.5921 0.8590 0.8585  4 La 3.51-3.65, 2 Pr 3.65, 1 Tb 3.68
Pr: 0.8590 0.8585 0.5921  4 La 3.51-3.65, 2 Pr 3.65, 1 Tb 3.68
Pr: 0.1415 0.4079 0.1410  4 La 3.51-3.65, 2 Pr 3.65, 1 Tb 3.68
Pr: 0.4079 0.1410 0.1415  4 La 3.51-3.65, 2 Pr 3.65, 1 Tb 3.68

Output
* crystal system: trigonal
* energy of formation from the pure elements: 103.7 meV/atom



no.,calculated volume (A^3/atom),D(E_F) (states/eV per cell)
1,34.46,16.22
2,34.37,17.39
3,36.09,14.62
4,37.41,27.49